(1)
## PmCdPt4 (GGA-PBE)

Data for crystalline PmCdPt4 at its relaxed geometry.

Formation enthalpy at 0 K, eV/atom: -0.816
Raw total energy, eV/atom: -5.7932
Magnetization, μB per cell: 0.00

Lattice parameters (Å, degrees): 7.6703 7.6703 7.6703 90.00 90.00 90.00
Last column: nearest neighbours and their distance in Å.
Space group F-43m (No. 216)
Inequivalent atoms, fractional coordinates:
Pm 0.0000 0.0000 0.0000 [4 per cell]  12 Pt 3.18, 4 Cd 3.32
Cd 0.2500 0.2500 0.2500 [4 per cell]  12 Pt 3.18, 4 Pm 3.32
Pt 0.1244 0.1244 0.6244 [16 per cell]  6 Pt 2.70-2.73


(2)
## ErLuIn (GGA-PBE)

Data for crystalline ErLuIn at its relaxed geometry.

Raw total energy, eV/atom: -4.2840
Magnetization, μB per cell: 0.08
Energy above the most stable polymorph in this dataset, eV per formula unit: 0.00

Lattice parameters (Å, degrees): 5.3029 5.3029 6.6379 90.00 90.00 120.00
Last column: nearest neighbours and their distance in Å.
Space group P6_3/mmc (No. 194)
Inequivalent atoms, fractional coordinates:
Er 0.0000 0.0000 0.0000 [2 per cell]  2 Er 3.32, 6 Lu 3.48, 6 In 3.48
Lu 0.3333 0.6667 0.2500 [2 per cell]  5 In 3.06-3.32
In 0.3333 0.6667 0.7500 [2 per cell]  5 Lu 3.06-3.32


- magnetization of number 2 (ErLuIn)?
  0.08 μB per cell